Entry 1:
Density functional theory data (PBE) for a relaxed AgSbI2O crystal.

abc: 5.833 5.833 3.982
angles: 90.00 90.00 90.00
Fractional coordinates of all 5 atoms:
Ag (0.000, 0.000, 0.000)
Sb (0.500, 0.500, 0.500)
I (0.000, 0.500, 0.000)
I (0.500, 0.000, 0.000)
O (0.000, 0.000, 0.500)

Values from the calculation:
E_form (uncorrected) = 0.3423 eV per atom
offset from the most stable computed form = 514 meV per atom
magnetic moment = 0.00 μB/f.u.
DFT total energy = -2.664 eV/atom


Entry 2:
Density functional theory data (PBE) for a relaxed PmGdAs2 crystal.

abc: 5.144 5.144 3.636
angles: 90.00 90.00 90.00
Fractional coordinates of all 4 atoms:
Pm (0.000, 0.000, 0.000)
Gd (0.500, 0.500, 0.000)
As (0.000, 0.500, 0.500)
As (0.500, 0.000, 0.500)

Values from the calculation:
formation energy = -1.09 eV per atom
offset from the most stable computed form = 442 meV per atom
magnetic moment = 7.07 μB/f.u.
DFT total energy = -8.121 eV/atom


Entry 3:
Density functional theory data (PBE) for a relaxed PuAsH crystal.

abc: 4.053 3.474 5.921
angles: 90.00 97.93 90.00
Fractional coordinates of all 6 atoms:
Pu (0.137, 0.250, 0.114)
Pu (0.863, 0.750, 0.886)
As (0.348, 0.250, 0.633)
As (0.652, 0.750, 0.367)
H (0.373, 0.750, 0.971)
H (0.627, 0.250, 0.029)

Values from the calculation:
offset from the most stable computed form = 473 meV per atom
magnetic moment = 0.00 μB/f.u.
DFT total energy = -7.564 eV/atom


Entry 4:
Density functional theory data (PBE) for a relaxed LiRePb2 crystal.

abc: 4.818 4.818 3.481
angles: 90.00 90.00 90.00
Fractional coordinates of all 4 atoms:
Li (0.000, 0.000, 0.000)
Re (0.500, 0.500, 0.000)
Pb (0.000, 0.500, 0.500)
Pb (0.500, 0.000, 0.500)

Values from the calculation:
formation energy = 0.65 eV per atom
offset from the most stable computed form = 182 meV per atom
magnetic moment = 0.58 μB/f.u.
DFT total energy = -4.797 eV/atom


Entry 5:
Density functional theory data (PBE) for a relaxed Sc2InIr crystal.

abc: 9.418 9.418 9.418
angles: 22.46 22.46 22.46
Fractional coordinates of all 4 atoms:
Sc (0.113, 0.113, 0.113)
Sc (0.887, 0.887, 0.887)
In (0.000, 0.000, 0.000)
Ir (0.500, 0.500, 0.500)

Values from the calculation:
formation energy = -0.26 eV per atom
magnetic moment = 0.00 μB/f.u.
DFT total energy = -6.330 eV/atom


Entry 6:
Density functional theory data (PBE) for a relaxed SrTiSeBr2 crystal.

abc: 5.657 5.657 6.001
angles: 90.00 90.00 90.00
Fractional coordinates of all 5 atoms:
Sr (0.000, 0.000, 0.000)
Ti (0.500, 0.500, 0.500)
Se (0.000, 0.000, 0.500)
Br (0.000, 0.500, 0.000)
Br (0.500, 0.000, 0.000)

Values from the calculation:
E_form (uncorrected) = -0.3830 eV per atom
offset from the most stable computed form = 831 meV per atom
magnetic moment = 2.00 μB/f.u.
DFT total energy = -3.664 eV/atom


Entry 7:
Density functional theory data (PBE) for a relaxed BaPrBi2O8 crystal.

abc: 7.196 7.196 7.196
angles: 132.97 132.97 68.71
Fractional coordinates of all 12 atoms:
Ba (0.000, 0.000, 0.000)
Pr (0.250, 0.750, 0.500)
Bi (0.500, 0.500, 0.000)
Bi (0.750, 0.250, 0.500)
O (0.046, 0.108, 0.478)
O (0.233, 0.648, 0.076)
O (0.352, 0.428, 0.585)
O (0.433, 0.954, 0.062)
O (0.572, 0.157, 0.924)
O (0.630, 0.567, 0.522)
O (0.843, 0.767, 0.415)
O (0.892, 0.370, 0.938)

Values from the calculation:
E_form (uncorrected) = -1.5519 eV per atom
magnetic moment = 1.12 μB/f.u.
DFT total energy = -6.063 eV/atom


Entry 8:
Density functional theory data (PBE) for a relaxed In2Hg4PCl5 crystal.

abc: 8.955 7.440 7.440
angles: 129.58 90.00 90.00
Fractional coordinates of all 12 atoms:
In (0.000, 0.185, 0.815)
In (0.000, 0.815, 0.185)
Hg (0.308, 0.432, 0.432)
Hg (0.500, 0.337, 0.943)
Hg (0.500, 0.943, 0.337)
Hg (0.692, 0.432, 0.432)
P (0.500, 0.154, 0.154)
Cl (0.000, 0.257, 0.257)
Cl (0.247, 0.556, 0.842)
Cl (0.247, 0.842, 0.556)
Cl (0.753, 0.556, 0.842)
Cl (0.753, 0.842, 0.556)

Values from the calculation:
E_form (uncorrected) = -0.4326 eV per atom
magnetic moment = 0.00 μB/f.u.
DFT total energy = -2.210 eV/atom


Entry 9:
Density functional theory data (PBE) for a relaxed Th4Sb2AuSe crystal.

abc: 7.570 4.329 7.738
angles: 90.00 108.97 90.00
Fractional coordinates of all 8 atoms:
Th (0.239, 0.000, 0.232)
Th (0.256, 0.500, 0.767)
Th (0.744, 0.500, 0.233)
Th (0.761, 0.000, 0.768)
Sb (0.000, 0.000, 0.500)
Sb (0.500, 0.500, 0.500)
Au (0.000, 0.500, 0.000)
Se (0.500, 0.000, 0.000)

Values from the calculation:
E_form (uncorrected) = -0.9821 eV per atom
magnetic moment = 0.00 μB/f.u.
DFT total energy = -6.568 eV/atom


Entry 10:
Density functional theory data (PBE) for a relaxed KHgBiS2 crystal.

abc: 5.527 5.527 5.481
angles: 90.00 90.00 90.00
Fractional coordinates of all 5 atoms:
K (0.000, 0.000, 0.000)
Hg (0.000, 0.000, 0.500)
Bi (0.500, 0.500, 0.500)
S (0.000, 0.500, 0.000)
S (0.500, 0.000, 0.000)

Values from the calculation:
E_form (uncorrected) = 0.7466 eV per atom
magnetic moment = 0.00 μB/f.u.
DFT total energy = -1.960 eV/atom


Entry 11:
Density functional theory data (PBE) for a relaxed Si4PtRh crystal.

abc: 4.950 4.950 4.950
angles: 60.00 60.00 60.00
Fractional coordinates of all 6 atoms:
Si (0.125, 0.125, 0.125)
Si (0.125, 0.125, 0.626)
Si (0.125, 0.626, 0.125)
Si (0.626, 0.125, 0.125)
Pt (0.500, 0.500, 0.500)
Rh (0.750, 0.750, 0.750)

Values from the calculation:
E_form (uncorrected) = 0.2843 eV per atom
magnetic moment = 0.00 μB/f.u.
DFT total energy = -5.563 eV/atom


Entry 12:
Density functional theory data (PBE) for a relaxed CaNdNi crystal.

abc: 11.665 10.723 6.062
angles: 83.08 65.86 31.06
Fractional coordinates of all 12 atoms:
Ca (0.035, 0.715, 0.035)
Ca (0.285, 0.965, 0.285)
Ca (0.715, 0.035, 0.715)
Ca (0.965, 0.285, 0.965)
Nd (0.284, 0.284, 0.466)
Nd (0.466, 0.466, 0.284)
Nd (0.534, 0.534, 0.716)
Nd (0.716, 0.716, 0.534)
Ni (0.001, 0.001, 0.249)
Ni (0.249, 0.249, 0.001)
Ni (0.751, 0.751, 0.999)
Ni (0.999, 0.999, 0.751)

Values from the calculation:
formation energy = -0.08 eV per atom
offset from the most stable computed form = 134 meV per atom
magnetic moment = 0.00 μB/f.u.
DFT total energy = -4.259 eV/atom


Entry 13:
Density functional theory data (PBE) for a relaxed Tb5Pm2HoTm crystal.

abc: 10.002 10.002 10.002
angles: 129.27 129.27 74.57
Fractional coordinates of all 18 atoms:
Tb (0.000, 0.000, 0.000)
Tb (0.073, 0.573, 0.928)
Tb (0.145, 0.073, 0.500)
Tb (0.355, 0.855, 0.928)
Tb (0.427, 0.355, 0.500)
Tb (0.500, 0.500, 0.000)
Tb (0.573, 0.645, 0.500)
Tb (0.645, 0.145, 0.072)
Tb (0.855, 0.927, 0.500)
Tb (0.927, 0.427, 0.072)
Pm (0.119, 0.381, 0.500)
Pm (0.381, 0.881, 0.263)
Pm (0.619, 0.119, 0.737)
Pm (0.881, 0.619, 0.500)
Ho (0.250, 0.250, 0.000)
Ho (0.750, 0.750, 0.000)
Tm (0.250, 0.750, 0.500)
Tm (0.750, 0.250, 0.500)

Values from the calculation:
formation energy = 0.28 eV per atom
magnetic moment = 0.00 μB/f.u.
DFT total energy = -4.352 eV/atom